Here is an optimized crystal structure of K2BaMgF6 from Alexandria via LeMat-Bulk. Energies are from PBE.

Summary:
As for the uncorrected formation energy: -3.290 eV/atom. The total energy comes out at -99.7 eV per cell.

Cell lengths 6.227, 6.400, 10.787 Å; angles 90.00, 124.57, 90.00 degrees
Sites, in units of the cell vectors:
K: 0.236 0.045 0.251
K: 0.236 0.455 0.751
K: 0.764 0.545 0.249
K: 0.764 0.955 0.749
Ba: 0.500 0.000 0.000
Ba: 0.500 0.500 0.500
Mg: 0.000 0.000 0.500
Mg: 0.000 0.500 0.000
F: 0.113 0.238 0.941
F: 0.113 0.262 0.441
F: 0.216 0.679 0.953
F: 0.216 0.821 0.453
F: 0.315 0.041 0.717
F: 0.315 0.459 0.217
F: 0.685 0.541 0.783
F: 0.685 0.959 0.283
F: 0.784 0.179 0.547
F: 0.784 0.321 0.047
F: 0.887 0.738 0.559
F: 0.887 0.762 0.059